First-principles (PBE-GGA) data for an optimized crystal structure of Ac2Ga4CuNi3, as listed in Alexandria.

Cell lengths 4.353, 4.353, 9.983 Å; angles 90.00, 90.00, 90.00 degrees
Fractional coordinates of all 10 atoms:
Ac: 0.000 0.500 0.249
Ac: 0.500 0.000 0.751
Ga: 0.000 0.000 0.500
Ga: 0.000 0.500 0.880
Ga: 0.500 0.000 0.120
Ga: 0.500 0.500 0.500
Cu: 0.500 0.500 0.000
Ni: 0.000 0.000 0.000
Ni: 0.000 0.500 0.628
Ni: 0.500 0.000 0.372

Results
For the formation enthalpy at 0 K, the calculation gives -472 meV per atom. The value obtained for the total energy is -4.649 eV/atom. Its space group is P-4m2, No. 115.